Here is CuPSe2 after structural relaxation from the Alexandria database. Energies are from GGA-PBE.

- Magnetic moment: 0.00 μB/f.u.
- Polymorph energy (0 for the lowest one): 2.936 eV/f.u.
- Formation energy (no corrections): 668.0 meV per atom
- Symmetry: No. 216
- Crystal system: cubic

The structure in POSCAR format:
```
CuPSe2
1.0
-0.3890 -2.5278 3.8088
-2.2966 -3.9702 -0.1064
2.2676 -3.9721 0.3585
Se Cu P
2 1 1
Cartesian
-0.1045 -2.6175 1.0152 Se
0.0000 0.0000 0.0000 Se
-0.2090 -5.2350 2.0305 Cu
-0.3135 -7.8526 3.0457 P
```



Here is CuP2Se after structural relaxation from the Alexandria database. Energies are from GGA-PBE.

- Magnetic moment: 0.00 μB/f.u.
- Polymorph energy (0 for the lowest one): 0.805 eV/f.u.
- Formation energy (no corrections): 251.3 meV per atom
- Symmetry: No. 6
- Crystal system: monoclinic

The structure in POSCAR format:
```
CuP2Se
1.0
-0.5992 -0.2840 4.8709
-1.7388 -1.9804 -0.3294
2.3216 -4.9696 -0.0041
Se P Cu
1 2 1
Cartesian
0.3625 -4.3449 -0.2087 Se
-0.2272 -1.0095 2.3938 P
0.0713 -0.8705 -0.0420 P
0.0683 -4.4841 2.2275 Cu
```